No. 1
Below is a geometry-optimized AcSmTmSc structure, with properties calculated at the PBE-GGA level.

Cell: 8.084 8.084 8.084 Å, 90.00 90.00 90.00°
Space group F-43m (No. 216)
One atom of each set of equivalent atoms:
Ac1 0.000 0.000 0.000 [4 per cell]
Sm1 0.000 0.000 0.500 [4 per cell]
Tm1 0.250 0.250 0.750 [4 per cell]
Sc1 0.250 0.250 0.250 [4 per cell]

Calculated formation energy = 108 meV per atom
Energy = -4.7997 eV per atom
DOS at the Fermi energy = 24.5 states/eV/cell

***

No. 2
Below is a geometry-optimized Sm2Ga9Pd6 structure, with properties calculated at the PBE-GGA level.

Cell: 5.3959 5.3959 12.7911 Å, 90.00 90.00 120.00°
Space group P6/mmm (No. 191)
One atom of each set of equivalent atoms:
Sm1 0.0000 0.0000 0.1557 [2 per cell]
Ga1 0.0000 0.5000 0.0000 [3 per cell]
Ga2 0.0000 0.5000 0.3394 [6 per cell]
Pd1 0.3333 0.6667 0.1722 [4 per cell]
Pd2 0.3333 0.6667 0.5000 [2 per cell]

Calculated formation energy = -560 meV per atom
Energy = -4.5505 eV per atom
DOS at the Fermi energy = 9.2 states/eV/cell

***

No. 3
Below is a geometry-optimized La3TbNd2Y6 structure, with properties calculated at the PBE-GGA level.

Cell: 6.306 10.925 11.923 Å, 90.00 100.14 90.00°
Space group C2/m (No. 12)
One atom of each set of equivalent atoms:
La1 0.000 0.000 0.000 [2 per cell]
La2 0.000 0.333 0.000 [4 per cell]
Tb1 0.000 0.500 0.500 [2 per cell]
Nd1 0.000 0.166 0.500 [4 per cell]
Y1 0.249 0.000 0.747 [4 per cell]
Y2 0.249 0.334 0.747 [8 per cell]

Calculated formation energy = 11 meV per atom
Energy = -5.6335 eV per atom
DOS at the Fermi energy = 30.2 states/eV/cell